Here is Ti2Al4Cu after structural relaxation from Alexandria. Energies are from PBE-GGA.

a = 4.4028 Å, b = 4.4028 Å, c = 7.4306 Å
α = 72.77°, β = 72.77°, γ = 90.00°
Last column: nearest neighbours and their distance in Å.
Fractional coordinates of all 7 atoms:
Al (0.1776, 0.1776, 0.6448)  1 Cu 2.40, 1 Ti 2.65
Al (0.8224, 0.8224, 0.3552)  1 Cu 2.40, 1 Ti 2.65
Al (0.0000, 0.5000, 0.0000)  2 Cu 2.20
Al (0.5000, 0.0000, 0.0000)  2 Cu 2.20
Cu (0.0000, 0.0000, 0.0000)  6 Al 2.20-2.40
Ti (0.3736, 0.3736, 0.2528)  5 Al 2.65-2.78
Ti (0.6264, 0.6264, 0.7472)  5 Al 2.65-2.78

## Properties
Space group: I4/mmm, No. 139
Electronic total energy: -4.648 eV per atom
Calculated formation energy: 331.8 meV/atom
Total moment: 0.0000 μB/atom
Energy above the lowest structure with this stoichiometry: 596 meV/atom